5
Lattice="5.139 0.000 0.000 0.000 5.139 0.000 0.000 0.000 4.397" Properties=species:S:1:pos:R:3 comment="PBE Ta2BiWS, optimized geometry" dos_ef_per_ev_cell=4.517 e_tot_ev_per_cell=-39.40 sg="P4/mmm, No. 123" pbc="T T T"
Ta 0.000 2.570 0.000
Ta 2.570 0.000 0.000
Bi 0.000 0.000 2.198
W 2.570 2.570 0.000
S 2.570 2.570 2.198



10
Lattice="6.329 0.000 0.000 0.000 6.329 0.000 0.000 0.000 3.713" Properties=species:S:1:pos:R:3 comment="PBE Sc2Be2Ir, optimized geometry" formation_energy_ev_per_atom=-0.3914 dos_ef_per_ev_cell=8.970 e_tot_ev_per_cell=-61.87 sg="P4/mbm, No. 127" pbc="T T T"
Sc 1.165 2.000 0.000
Sc 2.000 5.165 0.000
Sc 4.329 1.165 0.000
Sc 5.165 4.329 0.000
Be 0.753 3.918 1.856
Be 2.412 0.753 1.856
Be 3.918 5.576 1.856
Be 5.576 2.412 1.856
Ir 0.000 0.000 1.856
Ir 3.165 3.165 1.856



4
Lattice="2.978 0.000 0.000 0.000 2.978 0.000 0.000 0.000 7.006" Properties=species:S:1:pos:R:3 comment="PBE ScTc2P, optimized geometry" formation_energy_ev_per_atom=-0.3601 dos_ef_per_ev_cell=2.428 e_tot_ev_per_cell=-33.91 sg="P4mm, No. 99" pbc="T T T"
Sc 0.000 0.000 0.000
Tc 0.000 0.000 3.750
Tc 1.489 1.489 1.994
P 1.489 1.489 4.981



3
Lattice="3.387 0.000 0.000 -1.694 2.934 0.000 0.000 0.000 5.678" Properties=species:S:1:pos:R:3 comment="PBE TbZrN, optimized geometry" dos_ef_per_ev_cell=1.940 e_tot_ev_per_cell=-24.62 e_above_lowest_polymorph_ev_per_atom=0.000 sg="P3m1, No. 156" pbc="T T T"
Tb 0.000 0.000 0.000
Zr 0.000 1.956 3.074
N 1.694 0.978 4.252



10
Lattice="7.187 -3.200 0.000 7.187 3.200 0.000 -7.084 0.000 7.203" Properties=species:S:1:pos:R:3 comment="PBE Ba2LiTl6Cd, optimized geometry" formation_energy_ev_per_atom=-0.2084 dos_ef_per_ev_cell=4.570 e_tot_ev_per_cell=-22.96 sg="C2/m, No. 12" pbc="T T T"
Ba -1.696 0.000 2.019
Ba 8.985 0.000 5.185
Li 7.187 0.000 0.000
Tl -1.489 1.616 5.351
Tl 4.308 0.000 0.640
Tl 8.778 1.616 1.852
Tl -1.489 -1.616 5.351
Tl 2.981 0.000 6.563
Tl 8.778 -1.616 1.852
Cd 3.645 0.000 3.602



8
Lattice="4.205 0.000 0.000 0.000 4.205 0.000 0.000 0.000 7.955" Properties=species:S:1:pos:R:3 comment="PBE AlAg7, optimized geometry" formation_energy_ev_per_atom=-0.0076 dos_ef_per_ev_cell=2.117 e_tot_ev_per_cell=-23.76 e_above_lowest_polymorph_ev_per_atom=0.017 sg="P4/mmm, No. 123" pbc="T T T"
Al 0.000 0.000 0.000
Ag 0.000 0.000 3.977
Ag 0.000 2.102 1.932
Ag 0.000 2.102 6.022
Ag 2.102 0.000 1.932
Ag 2.102 0.000 6.022
Ag 2.102 2.102 0.000
Ag 2.102 2.102 3.977



5
Lattice="6.450 0.000 0.000 0.000 6.450 0.000 0.000 0.000 6.450" Properties=species:S:1:pos:R:3 comment="PBE Rb3VPt, optimized geometry" formation_energy_ev_per_atom=0.8592 dos_ef_per_ev_cell=12.730 e_tot_ev_per_cell=-13.77 e_above_lowest_polymorph_ev_per_atom=0.000 sg="Pm-3m, No. 221" pbc="T T T"
Rb 0.000 0.000 3.225
Rb 0.000 3.225 0.000
Rb 3.225 0.000 0.000
V 3.225 3.225 3.225
Pt 0.000 0.000 0.000



14
Lattice="3.788 0.000 0.000 0.000 3.929 0.000 0.000 0.000 18.051" Properties=species:S:1:pos:R:3 comment="PBE ThZr2Si4, optimized geometry" dos_ef_per_ev_cell=7.461 e_tot_ev_per_cell=-102.59 sg="Immm, No. 71" pbc="T T T"
Th 0.000 0.000 0.000
Th 1.894 1.965 9.026
Zr 0.000 1.965 5.618
Zr 0.000 1.965 12.433
Zr 1.894 0.000 3.407
Zr 1.894 0.000 14.644
Si 0.000 0.000 7.665
Si 0.000 0.000 10.386
Si 0.000 1.965 2.865
Si 0.000 1.965 15.186
Si 1.894 0.000 6.161
Si 1.894 0.000 11.891
Si 1.894 1.965 1.361
Si 1.894 1.965 16.690



8
Lattice="6.826 0.000 0.000 0.000 11.387 0.000 -1.765 0.000 3.304" Properties=species:S:1:pos:R:3 comment="PBE SrTl2Cd, optimized geometry" formation_energy_ev_per_atom=-0.1280 dos_ef_per_ev_cell=4.389 e_tot_ev_per_cell=-15.68 sg="C2/m, No. 12" pbc="T T T"
Sr 0.000 0.000 0.000
Sr 3.413 5.693 0.000
Tl 0.824 2.847 1.652
Tl 0.824 8.540 1.652
Tl 4.237 2.847 1.652
Tl 4.237 8.540 1.652
Cd 0.000 5.693 0.000
Cd 3.413 0.000 0.000



12
Lattice="3.868 -6.709 0.000 3.868 6.709 0.000 -2.579 0.000 7.565" Properties=species:S:1:pos:R:3 comment="PBE Na3PuSb2Te6, optimized geometry" dos_ef_per_ev_cell=13.948 e_tot_ev_per_cell=-52.94 sg="C2/m, No. 12" pbc="T T T"
Na 0.000 0.000 0.000
Na 3.868 2.280 0.000
Na 3.868 -2.280 0.000
Pu 2.579 0.000 3.782
Sb 2.579 4.477 3.782
Sb 2.579 -4.477 3.782
Te 1.272 2.273 2.035
Te -0.040 0.000 5.550
Te 1.272 -2.273 2.035
Te 3.885 2.273 5.530
Te 5.198 0.000 2.015
Te 3.885 -2.273 5.530



7
Lattice="2.613 1.509 8.716 -2.613 1.509 8.716 0.000 -3.018 8.716" Properties=species:S:1:pos:R:3 comment="PBE Pm4MgZn2, optimized geometry" formation_energy_ev_per_atom=0.0135 dos_ef_per_ev_cell=11.091 e_tot_ev_per_cell=-23.05 e_above_lowest_polymorph_ev_per_atom=0.130 sg="R-3m, No. 166" pbc="T T T"
Pm 0.000 0.000 3.169
Pm 0.000 0.000 7.519
Pm 0.000 0.000 18.629
Pm 0.000 0.000 22.979
Mg 0.000 0.000 13.074
Zn 0.000 0.000 10.512
Zn 0.000 0.000 15.636



24
Lattice="-5.852 5.852 3.776 5.852 -5.852 3.776 5.852 5.852 -3.776" Properties=species:S:1:pos:R:3 comment="PBE PmMg9Pd2, optimized geometry" formation_energy_ev_per_atom=-0.2889 dos_ef_per_ev_cell=17.062 e_tot_ev_per_cell=-65.91 sg="I4_1/amd, No. 141" pbc="T T T"
Pm 5.852 2.926 0.944
Pm 0.000 2.926 2.832
Mg 5.852 -2.926 2.832
Mg 4.424 -0.619 1.413
Mg 7.280 -0.619 1.413
Mg 2.308 1.498 0.475
Mg 9.397 1.498 0.475
Mg 4.424 5.234 -1.413
Mg 1.428 -0.619 2.363
Mg 2.308 4.354 0.475
Mg 3.545 -1.498 4.251
Mg 2.308 7.351 -0.475
Mg 3.545 1.498 3.302
Mg 4.424 6.471 1.413
Mg 1.428 0.619 5.190
Mg -3.545 4.354 3.302
Mg 3.545 4.354 3.302
Mg -1.428 6.471 2.363
Mg 1.428 6.471 2.363
Mg 0.000 8.778 0.944
Pd 0.000 0.000 0.000
Pd 2.926 2.926 -1.888
Pd 2.926 -2.926 1.888
Pd 0.000 5.852 0.000



18
Lattice="-4.391 4.391 7.754 4.391 -4.391 7.754 4.391 4.391 -7.754" Properties=species:S:1:pos:R:3 comment="PBE LaTbPm2Dy5, optimized geometry" formation_energy_ev_per_atom=0.2585 dos_ef_per_ev_cell=20.228 e_tot_ev_per_cell=-79.49 sg="I4/mcm, No. 140" pbc="T T T"
La 0.000 0.000 3.877
La 0.000 0.000 11.630
Tb 4.391 0.000 3.877
Tb 0.000 4.391 3.877
Pm 5.415 1.024 0.000
Pm 1.024 3.366 0.000
Pm 3.366 1.024 7.754
Pm -1.024 3.366 7.754
Dy 0.000 0.000 0.000
Dy 2.561 1.830 -2.106
Dy 2.561 -1.830 5.648
Dy 2.561 1.830 2.106
Dy 2.561 -1.830 9.860
Dy 0.000 0.000 7.754
Dy 1.830 6.221 -2.106
Dy 1.830 2.561 5.648
Dy 1.830 6.221 2.106
Dy 1.830 2.561 9.860